[1]
First-principles (PBE-GGA) data for a relaxed structure of MgSc3C, as listed in Alexandria.

Computed properties:
energy above the lowest structure with this stoichiometry	0.1082	eV/atom
D(E_F)	0.863	states/eV per atom
calculated volume	203.5	Å³/cell
formation energy	-0.210	eV/atom

Cell: 5.741 6.356 6.493 Å, 73.57 89.32 64.51°
Space group P1 (No. 1)
Asymmetric unit:
Mg  0.000  0.000  0.000
Mg  0.432  0.501  0.869
Sc  0.011  0.986  0.502
Sc  0.382  0.508  0.367
Sc  0.479  0.016  0.743
Sc  0.514  0.010  0.255
Sc  0.926  0.490  0.604
Sc  0.933  0.500  0.136
C  0.218  0.227  0.441
C  0.945  0.769  0.311


[2]
First-principles (PBE-GGA) data for a relaxed structure of MgScC3, as listed in Alexandria.

Computed properties:
energy above the lowest structure with this stoichiometry	0.0000	eV/atom
D(E_F)	0.764	states/eV per atom
calculated volume	74.2	Å³/cell
formation energy	2.006	eV/atom

Cell: 4.202 4.202 4.202 Å, 90.00 90.00 90.00°
Space group Pm-3m (No. 221)
Asymmetric unit:
Mg  0.000  0.000  0.000
Sc  0.500  0.500  0.500
C  0.000  0.500  0.500


[3]
First-principles (PBE-GGA) data for a relaxed structure of MgSc3C, as listed in Alexandria.

Computed properties:
energy above the lowest structure with this stoichiometry	2.2440	eV/atom
D(E_F)	1.420	states/eV per atom
calculated volume	130.3	Å³/cell
formation energy	1.926	eV/atom

Cell: 5.070 5.070 5.070 Å, 90.00 90.00 90.00°
Space group Pm-3m (No. 221)
Asymmetric unit:
Mg  0.000  0.000  0.000
Sc  0.000  0.000  0.500
C  0.500  0.500  0.500


[4]
First-principles (PBE-GGA) data for a relaxed structure of MgSc3C, as listed in Alexandria.

Computed properties:
energy above the lowest structure with this stoichiometry	0.1357	eV/atom
D(E_F)	0.856	states/eV per atom
calculated volume	401.3	Å³/cell
formation energy	-0.182	eV/atom

Cell: 8.590 5.939 8.502 Å, 90.00 112.29 90.00°
Space group P2_1/c (No. 14)
Asymmetric unit:
Mg  0.081  0.188  0.080
Sc  0.179  0.626  0.261
Sc  0.318  0.077  0.453
Sc  0.439  0.571  0.646
C  0.431  0.743  0.896